5
Lattice="4.1824 0.0000 0.0000 0.0000 4.1824 0.0000 0.0000 0.0000 4.1824" Properties=species:S:1:pos:R:3 comment="VMo3O | Alexandria | PBE+U | relaxed" spacegroup="Pm-3m, No. 221" final_energy_ev_per_cell=-29.0 density_g_cm3=8.052 pbc="T T T"
V 0.0000 0.0000 0.0000
Mo 0.0000 2.0912 2.0912
Mo 2.0912 0.0000 2.0912
Mo 2.0912 2.0912 0.0000
O 2.0912 2.0912 2.0912